{"formula": "AcMgGaIr2", "functional": "PBE-GGA", "state": "relaxed", "lattice_angstrom": [[-2.0579, 2.1813, 5.7662], [2.0579, -2.1813, 5.7662], [2.0579, 2.1813, -5.7662]], "species": ["Ac", "Mg", "Ga", "Ir", "Ir"], "frac_coords": [[0.0000, 0.0000, 0.0000], [0.2644, 0.7644, 0.5000], [0.6288, 0.6288, 0.0000], [0.4079, 0.4079, 0.0000], [0.7664, 0.2664, 0.5000]], "spacegroup": "No. 44", "dos_at_fermi_per_ev_cell": 1.9, "magnetic_moment_mub_per_cell": 0.00, "formation_enthalpy_0k_ev_per_atom": -0.498, "volume_a3_per_atom": 20.71}

{"formula": "LaOsPt", "functional": "PBE-GGA", "state": "relaxed", "lattice_angstrom": [[0.0000, 3.2531, 3.2531], [3.2531, 0.0000, 3.2531], [3.2531, 3.2531, 0.0000]], "species": ["La", "Os", "Pt"], "frac_coords": [[0.0000, 0.0000, 0.0000], [0.7500, 0.7500, 0.7500], [0.5000, 0.5000, 0.5000]], "spacegroup": "No. 216", "dos_at_fermi_per_ev_cell": 4.6, "magnetic_moment_mub_per_cell": 0.03, "formation_enthalpy_0k_ev_per_atom": 0.236, "volume_a3_per_atom": 22.95}

{"formula": "BaSr5Ag", "functional": "PBE-GGA", "state": "relaxed", "lattice_angstrom": [[10.1635, 0.0000, 0.0000], [0.0000, 4.2371, 0.0000], [-1.2047, 0.0000, 16.3023]], "species": ["Ba", "Ba", "Sr", "Sr", "Sr", "Sr", "Sr", "Sr", "Sr", "Sr", "Sr", "Sr", "Ag", "Ag"], "frac_coords": [[0.0550, 0.2500, 0.1185], [0.9450, 0.7500, 0.8815], [0.1171, 0.2500, 0.3910], [0.2165, 0.2500, 0.7491], [0.3272, 0.7500, 0.9776], [0.3778, 0.7500, 0.5652], [0.4222, 0.2500, 0.2153], [0.5778, 0.7500, 0.7847], [0.6222, 0.2500, 0.4348], [0.6728, 0.2500, 0.0224], [0.7835, 0.7500, 0.2509], [0.8829, 0.7500, 0.6090], [0.3779, 0.7500, 0.3655], [0.6221, 0.2500, 0.6345]], "spacegroup": "No. 11", "dos_at_fermi_per_ev_cell": 15.6, "magnetic_moment_mub_per_cell": 0.00, "formation_enthalpy_0k_ev_per_atom": -0.037, "volume_a3_per_atom": 50.14}

{"formula": "Ni3SeS", "functional": "PBE-GGA", "state": "relaxed", "lattice_angstrom": [[2.4802, -8.7964, 0.0000], [2.4802, 8.7964, 0.0000], [0.0000, 0.0000, 4.4092]], "species": ["Ni", "Ni", "Ni", "Ni", "Ni", "Ni", "Se", "Se", "S", "S"], "frac_coords": [[0.0000, 0.0000, 0.0000], [0.0000, 0.0000, 0.5000], [0.0509, 0.4571, 0.7500], [0.4571, 0.0509, 0.2500], [0.5429, 0.9491, 0.7500], [0.9491, 0.5429, 0.2500], [0.3149, 0.6851, 0.2500], [0.6851, 0.3149, 0.7500], [0.1014, 0.8986, 0.2500], [0.8986, 0.1014, 0.7500]], "spacegroup": "No. 63", "e_form_raw_ev_per_atom": -0.0052, "dos_at_fermi_per_ev_cell": 10.3, "magnetic_moment_mub_per_cell": 0.71, "volume_a3_per_atom": 19.24}

{"formula": "Nd4Al2Hg", "functional": "PBE-GGA", "state": "relaxed", "lattice_angstrom": [[2.6508, 1.5305, 8.4864], [-2.6508, 1.5305, 8.4864], [0.0000, -3.0609, 8.4864]], "species": ["Nd", "Nd", "Nd", "Nd", "Al", "Al", "Hg"], "frac_coords": [[0.1180, 0.1180, 0.1180], [0.3704, 0.3704, 0.3704], [0.6296, 0.6296, 0.6296], [0.8820, 0.8820, 0.8820], [0.2474, 0.2474, 0.2474], [0.7526, 0.7526, 0.7526], [0.5000, 0.5000, 0.5000]], "spacegroup": "No. 166", "dos_at_fermi_per_ev_cell": 8.2, "magnetic_moment_mub_per_cell": 0.00, "formation_enthalpy_0k_ev_per_atom": -0.249, "volume_a3_per_atom": 29.51}

{"formula": "HgTe2Br", "functional": "PBE-GGA", "state": "relaxed", "lattice_angstrom": [[1.7163, 0.9909, 11.7689], [-1.7163, 0.9909, 11.7689], [0.0000, -1.9818, 11.7689]], "species": ["Hg", "Te", "Te", "Br"], "frac_coords": [[0.0000, 0.0000, 0.0000], [0.4215, 0.4215, 0.4215], [0.5785, 0.5785, 0.5785], [0.5000, 0.5000, 0.5000]], "spacegroup": "No. 166", "e_form_raw_ev_per_atom": 0.1682, "dos_at_fermi_per_ev_cell": 2.9, "magnetic_moment_mub_per_cell": 0.00, "volume_a3_per_atom": 30.02}

{"formula": "SmHo4Tm", "functional": "PBE-GGA", "state": "relaxed", "lattice_angstrom": [[1.7736, -9.2061, 0.0000], [1.7736, 9.2061, 0.0000], [0.0000, 0.0000, 11.4451]], "species": ["Sm", "Sm", "Ho", "Ho", "Ho", "Ho", "Ho", "Ho", "Ho", "Ho", "Tm", "Tm"], "frac_coords": [[0.1668, 0.8332, 0.5000], [0.8332, 0.1668, 0.0000], [0.0555, 0.9445, 0.7501], [0.1663, 0.8337, 0.9987], [0.3888, 0.6112, 0.7493], [0.4993, 0.5007, 0.5003], [0.5007, 0.4993, 0.0003], [0.6112, 0.3888, 0.2493], [0.8337, 0.1663, 0.4987], [0.9445, 0.0555, 0.2501], [0.2779, 0.7221, 0.2495], [0.7221, 0.2779, 0.7495]], "spacegroup": "No. 36", "dos_at_fermi_per_ev_cell": 16.0, "magnetic_moment_mub_per_cell": 0.00, "formation_enthalpy_0k_ev_per_atom": 0.002, "volume_a3_per_atom": 31.15}

{"formula": "NaHo3Os", "functional": "PBE-GGA", "state": "relaxed", "lattice_angstrom": [[5.4411, 0.0000, 0.0000], [0.0000, 5.4411, 0.0000], [0.0000, 0.0000, 5.4411]], "species": ["Na", "Ho", "Ho", "Ho", "Os"], "frac_coords": [[0.0000, 0.0000, 0.0000], [0.0000, 0.5000, 0.5000], [0.5000, 0.0000, 0.5000], [0.5000, 0.5000, 0.0000], [0.5000, 0.5000, 0.5000]], "spacegroup": "No. 221", "dos_at_fermi_per_ev_cell": 3.0, "magnetic_moment_mub_per_cell": 0.00, "formation_enthalpy_0k_ev_per_atom": 0.002, "volume_a3_per_atom": 32.22}